## TiNi3Pt (PBE-GGA)

Data for TiNi3Pt after structural relaxation.

Computed properties:
The calculation puts the polymorph energy (0 for the lowest one) at 0.0 meV per atom. The space group is Cm (8). Its total magnetic moment is 0.00 μB/cell. Its formation energy is -0.43 eV/atom.

The structure in POSCAR format:
```
TiNi3Pt
1.0
3.543 0.787 0.762
0.918 4.456 0.151
0.885 0.470 4.413
Ti Ni Pt
1 3 1
Cartesian
4.047 2.540 2.427
2.108 1.355 3.649
1.761 3.755 2.767
3.361 3.420 4.688
3.727 4.966 1.419
```